{"formula": "HfCdPO2", "functional": "PBE-GGA", "state": "optimized geometry", "lattice_angstrom": [[4.044, 0.000, 0.000], [0.000, 4.044, 0.000], [0.000, 0.000, 4.978]], "species": ["Hf", "Cd", "P", "O", "O"], "frac_coords": [[0.000, 0.000, 0.000], [0.500, 0.500, 0.500], [0.500, 0.500, 0.000], [0.000, 0.500, 0.500], [0.500, 0.000, 0.500]], "de_polymorph_ev_per_fu": 7.26, "spacegroup": "P4/mmm, No. 123"}

***

{"formula": "HfCdPO2", "functional": "PBE-GGA", "state": "optimized geometry", "lattice_angstrom": [[4.005, 0.000, 0.000], [0.000, 4.005, 0.000], [0.000, 0.000, 5.566]], "species": ["Hf", "Cd", "P", "O", "O"], "frac_coords": [[0.000, 0.000, 0.000], [0.500, 0.500, 0.500], [0.000, 0.000, 0.500], [0.000, 0.500, 0.000], [0.500, 0.000, 0.000]], "de_polymorph_ev_per_fu": 0.00, "spacegroup": "P4/mmm, No. 123"}

***

{"formula": "HfPaCd2O8", "functional": "PBE-GGA", "state": "optimized geometry", "lattice_angstrom": [[-3.453, 3.453, 3.636], [3.453, -3.453, 3.636], [3.453, 3.453, -3.636]], "species": ["Hf", "Pa", "Cd", "Cd", "O", "O", "O", "O", "O", "O", "O", "O"], "frac_coords": [[0.000, 0.000, 0.000], [0.750, 0.250, 0.500], [0.250, 0.750, 0.500], [0.500, 0.500, 0.000], [0.017, 0.329, 0.312], [0.017, 0.705, 0.688], [0.080, 0.255, 0.825], [0.295, 0.983, 0.312], [0.430, 0.255, 0.175], [0.671, 0.983, 0.688], [0.745, 0.570, 0.825], [0.745, 0.920, 0.175]], "spacegroup": "I-4m2, No. 119"}

***

{"formula": "Rb3HfCd2O6", "functional": "PBE-GGA", "state": "optimized geometry", "lattice_angstrom": [[2.972, -5.185, 0.000], [2.972, 5.185, 0.000], [-1.931, 0.000, 6.468]], "species": ["Rb", "Rb", "Rb", "Hf", "Cd", "Cd", "O", "O", "O", "O", "O", "O"], "frac_coords": [[0.000, 0.000, 0.000], [0.327, 0.673, 0.000], [0.673, 0.327, 0.000], [0.500, 0.500, 0.500], [0.166, 0.834, 0.500], [0.834, 0.166, 0.500], [0.139, 0.438, 0.322], [0.263, 0.263, 0.684], [0.438, 0.139, 0.322], [0.562, 0.861, 0.678], [0.737, 0.737, 0.316], [0.861, 0.562, 0.678]], "spacegroup": "C2/m, No. 12"}

***

{"formula": "Rb2Hf3CdO8", "functional": "PBE-GGA", "state": "optimized geometry", "lattice_angstrom": [[3.270, 1.888, 6.871], [-3.270, 1.888, 6.871], [0.000, -3.775, 6.871]], "species": ["Rb", "Rb", "Hf", "Hf", "Hf", "Cd", "O", "O", "O", "O", "O", "O", "O", "O"], "frac_coords": [[0.000, 0.000, 0.000], [0.355, 0.355, 0.355], [0.356, 0.356, 0.856], [0.356, 0.856, 0.356], [0.856, 0.356, 0.356], [0.829, 0.829, 0.829], [0.083, 0.083, 0.547], [0.083, 0.547, 0.083], [0.137, 0.137, 0.137], [0.175, 0.614, 0.614], [0.547, 0.083, 0.083], [0.573, 0.573, 0.573], [0.614, 0.175, 0.614], [0.614, 0.614, 0.175]], "spacegroup": "R3m, No. 160"}

***

{"formula": "Rb2HfCdO4", "functional": "PBE-GGA", "state": "optimized geometry", "lattice_angstrom": [[6.090, 0.000, 0.000], [0.000, 3.331, 0.000], [-2.218, 0.000, 6.460]], "species": ["Rb", "Rb", "Hf", "Cd", "O", "O", "O", "O"], "frac_coords": [[0.000, 0.000, 0.000], [0.500, 0.500, 0.000], [0.000, 0.500, 0.500], [0.500, 0.000, 0.500], [0.187, 0.000, 0.681], [0.240, 0.500, 0.334], [0.760, 0.500, 0.666], [0.813, 0.000, 0.319]], "spacegroup": "P2/m, No. 10"}

***

{"formula": "HfCdSbO6", "functional": "PBE-GGA", "state": "optimized geometry", "lattice_angstrom": [[5.483, 0.000, 0.000], [-2.742, 4.749, 0.000], [0.000, 0.000, 9.413]], "species": ["Hf", "Hf", "Cd", "Cd", "Sb", "Sb", "O", "O", "O", "O", "O", "O", "O", "O", "O", "O", "O", "O"], "frac_coords": [[0.333, 0.667, 0.250], [0.667, 0.333, 0.750], [0.000, 0.000, 0.000], [0.000, 0.000, 0.500], [0.333, 0.667, 0.750], [0.667, 0.333, 0.250], [0.011, 0.367, 0.636], [0.011, 0.644, 0.864], [0.356, 0.367, 0.864], [0.356, 0.989, 0.636], [0.367, 0.011, 0.136], [0.367, 0.356, 0.364], [0.633, 0.644, 0.636], [0.633, 0.989, 0.864], [0.644, 0.011, 0.364], [0.644, 0.633, 0.136], [0.989, 0.356, 0.136], [0.989, 0.633, 0.364]], "spacegroup": "P-31c, No. 163"}

***

{"formula": "Hf2CdSbO8", "functional": "PBE-GGA", "state": "optimized geometry", "lattice_angstrom": [[3.433, -3.438, 0.000], [3.433, 3.438, 0.000], [0.000, 0.000, 6.598]], "species": ["Hf", "Hf", "Cd", "Sb", "O", "O", "O", "O", "O", "O", "O", "O"], "frac_coords": [[0.000, 0.000, 0.249], [0.000, 0.000, 0.751], [0.500, 0.500, 0.000], [0.500, 0.500, 0.500], [0.180, 0.820, 0.000], [0.202, 0.798, 0.500], [0.300, 0.300, 0.281], [0.300, 0.300, 0.719], [0.700, 0.700, 0.281], [0.700, 0.700, 0.719], [0.798, 0.202, 0.500], [0.820, 0.180, 0.000]], "spacegroup": "Cmmm, No. 65"}

***

{"formula": "HfCdSb2O", "functional": "PBE-GGA", "state": "optimized geometry", "lattice_angstrom": [[5.448, 0.000, 0.000], [0.000, 5.448, 0.000], [0.000, 0.000, 5.815]], "species": ["Hf", "Cd", "Sb", "Sb", "O"], "frac_coords": [[0.000, 0.000, 0.000], [0.000, 0.000, 0.500], [0.000, 0.500, 0.000], [0.500, 0.000, 0.000], [0.500, 0.500, 0.500]], "spacegroup": "P4/mmm, No. 123"}

***

{"formula": "Hf2ScCdO", "functional": "PBE-GGA", "state": "optimized geometry", "lattice_angstrom": [[4.425, 0.000, 0.000], [0.000, 4.425, 0.000], [0.000, 0.000, 4.507]], "species": ["Hf", "Hf", "Sc", "Cd", "O"], "frac_coords": [[0.000, 0.500, 0.000], [0.500, 0.000, 0.000], [0.000, 0.000, 0.500], [0.500, 0.500, 0.500], [0.000, 0.000, 0.000]], "spacegroup": "P4/mmm, No. 123"}

***

{"formula": "HfSc2CdO", "functional": "PBE-GGA", "state": "optimized geometry", "lattice_angstrom": [[4.462, 0.000, 0.000], [0.000, 4.462, 0.000], [0.000, 0.000, 4.419]], "species": ["Hf", "Sc", "Sc", "Cd", "O"], "frac_coords": [[0.000, 0.000, 0.000], [0.000, 0.500, 0.500], [0.500, 0.000, 0.500], [0.500, 0.500, 0.000], [0.000, 0.000, 0.500]], "spacegroup": "P4/mmm, No. 123"}

***

{"formula": "HfCdSiO5", "functional": "PBE-GGA", "state": "optimized geometry", "lattice_angstrom": [[3.610, -4.354, 0.000], [3.610, 4.354, 0.000], [-3.351, 0.000, 6.863]], "species": ["Hf", "Hf", "Cd", "Cd", "Si", "Si", "O", "O", "O", "O", "O", "O", "O", "O", "O", "O"], "frac_coords": [[0.000, 0.000, 0.000], [0.000, 0.000, 0.500], [0.328, 0.672, 0.750], [0.672, 0.328, 0.250], [0.331, 0.669, 0.250], [0.669, 0.331, 0.750], [0.084, 0.916, 0.750], [0.152, 0.705, 0.386], [0.269, 0.364, 0.113], [0.295, 0.848, 0.114], [0.364, 0.269, 0.613], [0.636, 0.731, 0.387], [0.705, 0.152, 0.886], [0.731, 0.636, 0.887], [0.848, 0.295, 0.614], [0.916, 0.084, 0.250]], "spacegroup": "C2/c, No. 15"}

***

Ordered total magnetic moment results: 0.00 0.02 0.00 1.10 0.00 0.00 2.09 0.00 1.72 0.00 0.00 0.00; unit μB/cell.
Ordered uncorrected formation energy results: -0.045 -1.498 -1.911 -1.658 -2.718 -2.046 -1.810 -2.273 0.753 -1.073 -1.236 -2.646; unit eV/atom.
Ordered final energy results: -5.2843 -6.7373 -6.9898 -5.3613 -7.8881 -6.1256 -6.7809 -7.6567 -4.0615 -7.4950 -6.9341 -7.7812; unit eV/atom.